# TlInSn2I (PBE, relaxed)
data_TlInSn2I
_symmetry_space_group_name_H-M 'P 4/m m m'
_symmetry_Int_Tables_number 123
_symmetry_space_group_name_Hall '-P 4 2'
_cell_length_a 5.6784
_cell_length_b 5.6784
_cell_length_c 6.2774
_cell_angle_alpha 90.00
_cell_angle_beta 90.00
_cell_angle_gamma 90.00
loop_
_atom_site_label
_atom_site_type_symbol
_atom_site_fract_x
_atom_site_fract_y
_atom_site_fract_z
_atom_site_occupancy
Tl1 Tl 0.0000 0.0000 0.0000 1
In1 In 0.5000 0.5000 0.5000 1
Sn1 Sn 0.0000 0.5000 0.5000 1
I1 I 0.5000 0.5000 0.0000 1
# Formation energy from raw total energies, eV per atom: 0.303
# Density of states at the Fermi level, states/eV/cell: 4.3
# M_tot, μB per formula unit: 0.0

***

# YInSn2I8 (PBE, relaxed)
data_YInSn2I8
_symmetry_space_group_name_H-M 'P -1'
_symmetry_Int_Tables_number 2
_symmetry_space_group_name_Hall '-P 1'
_cell_length_a 7.3047
_cell_length_b 7.7595
_cell_length_c 9.5246
_cell_angle_alpha 89.98
_cell_angle_beta 89.95
_cell_angle_gamma 88.91
loop_
_atom_site_label
_atom_site_type_symbol
_atom_site_fract_x
_atom_site_fract_y
_atom_site_fract_z
_atom_site_occupancy
Y1 Y 0.0000 0.0000 0.0000 1
In1 In 0.0000 0.0000 0.5000 1
Sn1 Sn 0.5000 0.4999 0.2516 1
I1 I 0.2373 0.3249 0.0001 1
I2 I 0.2457 0.8438 0.2262 1
I3 I 0.2461 0.8443 0.7736 1
I4 I 0.2714 0.3564 0.5003 1
# Formation energy from raw total energies, eV per atom: -0.756
# Density of states at the Fermi level, states/eV/cell: 0.0
# M_tot, μB per formula unit: 0.0

***

# YInSnI6 (PBE, relaxed)
data_YInSnI6
_symmetry_space_group_name_H-M 'P -3 1 c'
_symmetry_Int_Tables_number 163
_symmetry_space_group_name_Hall '-P 3 2c'
_cell_length_a 8.0114
_cell_length_b 8.0114
_cell_length_c 15.1142
_cell_angle_alpha 90.00
_cell_angle_beta 90.00
_cell_angle_gamma 120.00
loop_
_atom_site_label
_atom_site_type_symbol
_atom_site_fract_x
_atom_site_fract_y
_atom_site_fract_z
_atom_site_occupancy
Y1 Y 0.3333 0.6667 0.2500 1
In1 In 0.0000 0.0000 0.0000 1
Sn1 Sn 0.3333 0.6667 0.7500 1
I1 I 0.0140 0.3672 0.1325 1
# Formation energy from raw total energies, eV per atom: -0.894
# Density of states at the Fermi level, states/eV/cell: 0.0
# M_tot, μB per formula unit: 0.0

***

# YIn2SnI (PBE, relaxed)
data_YIn2SnI
_symmetry_space_group_name_H-M 'P 4/m m m'
_symmetry_Int_Tables_number 123
_symmetry_space_group_name_Hall '-P 4 2'
_cell_length_a 8.7533
_cell_length_b 8.7533
_cell_length_c 5.9528
_cell_angle_alpha 90.00
_cell_angle_beta 90.00
_cell_angle_gamma 90.00
loop_
_atom_site_label
_atom_site_type_symbol
_atom_site_fract_x
_atom_site_fract_y
_atom_site_fract_z
_atom_site_occupancy
Y1 Y 0.0000 0.0000 0.0000 1
In1 In 0.0000 0.5000 0.0000 1
Sn1 Sn 0.5000 0.5000 0.5000 1
I1 I 0.0000 0.0000 0.5000 1
# Formation energy from raw total energies, eV per atom: 1.134
# Density of states at the Fermi level, states/eV/cell: 12.2
# M_tot, μB per formula unit: 0.9

***

# ZrInSnI2 (PBE, relaxed)
data_ZrInSnI2
_symmetry_space_group_name_H-M 'P 4/m m m'
_symmetry_Int_Tables_number 123
_symmetry_space_group_name_Hall '-P 4 2'
_cell_length_a 6.1254
_cell_length_b 6.1254
_cell_length_c 5.7937
_cell_angle_alpha 90.00
_cell_angle_beta 90.00
_cell_angle_gamma 90.00
loop_
_atom_site_label
_atom_site_type_symbol
_atom_site_fract_x
_atom_site_fract_y
_atom_site_fract_z
_atom_site_occupancy
Zr1 Zr 0.0000 0.0000 0.0000 1
In1 In 0.5000 0.5000 0.0000 1
Sn1 Sn 0.0000 0.0000 0.5000 1
I1 I 0.0000 0.5000 0.5000 1
# Formation energy from raw total energies, eV per atom: 0.541
# Density of states at the Fermi level, states/eV/cell: 5.2
# M_tot, μB per formula unit: 2.6

***

# Zr2InSnI (PBE, relaxed)
data_Zr2InSnI
_symmetry_space_group_name_H-M 'P 4/m m m'
_symmetry_Int_Tables_number 123
_symmetry_space_group_name_Hall '-P 4 2'
_cell_length_a 5.5202
_cell_length_b 5.5202
_cell_length_c 5.4907
_cell_angle_alpha 90.00
_cell_angle_beta 90.00
_cell_angle_gamma 90.00
loop_
_atom_site_label
_atom_site_type_symbol
_atom_site_fract_x
_atom_site_fract_y
_atom_site_fract_z
_atom_site_occupancy
Zr1 Zr 0.0000 0.5000 0.0000 1
In1 In 0.0000 0.0000 0.0000 1
Sn1 Sn 0.5000 0.5000 0.5000 1
I1 I 0.0000 0.0000 0.5000 1
# Formation energy from raw total energies, eV per atom: 1.050
# Density of states at the Fermi level, states/eV/cell: 5.7
# M_tot, μB per formula unit: 0.0

***

# Sr5In4I (PBE, relaxed)
data_Sr5In4I
_symmetry_space_group_name_H-M 'P 4/m m m'
_symmetry_Int_Tables_number 123
_symmetry_space_group_name_Hall '-P 4 2'
_cell_length_a 4.0899
_cell_length_b 4.0899
_cell_length_c 20.9478
_cell_angle_alpha 90.00
_cell_angle_beta 90.00
_cell_angle_gamma 90.00
loop_
_atom_site_label
_atom_site_type_symbol
_atom_site_fract_x
_atom_site_fract_y
_atom_site_fract_z
_atom_site_occupancy
Sr1 Sr 0.0000 0.0000 0.0000 1
Sr2 Sr 0.0000 0.0000 0.1912 1
Sr3 Sr 0.0000 0.0000 0.3817 1
In1 In 0.5000 0.5000 0.0971 1
In2 In 0.5000 0.5000 0.2874 1
I1 I 0.5000 0.5000 0.5000 1
# Formation energy from raw total energies, eV per atom: -0.570
# Density of states at the Fermi level, states/eV/cell: 6.4
# M_tot, μB per formula unit: 0.0

***

# Sr2InI (PBE, relaxed)
data_Sr2InI
_symmetry_space_group_name_H-M 'R -3 m'
_symmetry_Int_Tables_number 166
_symmetry_space_group_name_Hall '-R 3 2"'
_cell_length_a 4.5018
_cell_length_b 4.5018
_cell_length_c 27.3647
_cell_angle_alpha 90.00
_cell_angle_beta 90.00
_cell_angle_gamma 120.00
loop_
_atom_site_label
_atom_site_type_symbol
_atom_site_fract_x
_atom_site_fract_y
_atom_site_fract_z
_atom_site_occupancy
Sr1 Sr 0.0000 0.0000 0.2448 1
In1 In 0.0000 0.0000 0.5000 1
I1 I 0.0000 0.0000 0.0000 1
# Formation energy from raw total energies, eV per atom: -0.800
# Density of states at the Fermi level, states/eV/cell: 2.3
# ΔE to the lowest computed polymorph, kJ per mole of atoms: 0.0
# M_tot, μB per formula unit: 0.0